# KSr2Se | Alexandria | GGA-PBEsol | optimized geometry
# - E (eV per atom) = -2.60
# - symmetry = No. 47
# - DOS at the Fermi energy (states/eV per cell) = 2.97
# - size of the total moment (μB per cell) = 0.00
# - raw formation energy (eV per atom) = -0.432
data_KSr2Se
_chemical_formula_sum 'K1 Sr2 Se1'
_symmetry_space_group_name_H-M 'P 1'
_symmetry_Int_Tables_number 1
_cell_length_a 5.1379
_cell_length_b 5.2195
_cell_length_c 5.4268
_cell_angle_alpha 90.00
_cell_angle_beta 90.00
_cell_angle_gamma 90.00
loop_
_symmetry_equiv_pos_as_xyz
'x,y,z'
loop_
_atom_site_label
_atom_site_type_symbol
_atom_site_fract_x
_atom_site_fract_y
_atom_site_fract_z
_atom_site_occupancy
Sr1 Sr 0.0000 0.5000 0.5000 1
Sr2 Sr 0.0000 0.0000 0.0000 1
Se1 Se 0.5000 0.0000 0.5000 1
K1 K 0.5000 0.5000 0.0000 1